No. 1
TaHg2Se: optimized geometry, PBE-GGA.

Calculated values
Uncorrected energy (hartree per atom): -0.132
Calculated volume (Å³/cell): 168.9
Uncorrected formation energy (eV per atom): 0.4065

```
data_TaHg2Se
_cell_length_a 5.373
_cell_length_b 9.442
_cell_length_c 3.328
_cell_angle_alpha 90.00
_cell_angle_beta 90.08
_cell_angle_gamma 90.00
_symmetry_space_group_name_H-M 'C 1 2/m 1'
_symmetry_Int_Tables_number 12
_symmetry_space_group_name_Hall '-C 2y'
loop_
_atom_site_label
_atom_site_fract_x
_atom_site_fract_y
_atom_site_fract_z
Ta1 0.000 0.000 0.000
Hg1 0.250 0.250 0.500
Se1 0.000 0.500 0.000
```

No. 2
TaHgSe3: optimized geometry, PBE-GGA.

Calculated values
Uncorrected energy (hartree per atom): -0.182
Calculated volume (Å³/cell): 272.6
E above lowest polymorph (eV per atom): 0.0000
Uncorrected formation energy (eV per atom): -0.4276

```
data_TaHgSe3
_cell_length_a 5.103
_cell_length_b 5.104
_cell_length_c 10.870
_cell_angle_alpha 89.34
_cell_angle_beta 88.76
_cell_angle_gamma 74.39
_symmetry_space_group_name_H-M 'P 1'
_symmetry_Int_Tables_number 1
_symmetry_space_group_name_Hall 'P 1'
loop_
_atom_site_label
_atom_site_fract_x
_atom_site_fract_y
_atom_site_fract_z
Ta1 0.000 0.000 0.000
Ta2 0.500 0.500 0.000
Hg1 0.050 0.544 0.526
Hg2 0.457 0.950 0.474
Se1 0.004 0.502 0.899
Se2 0.143 0.649 0.188
Se3 0.357 0.852 0.812
Se4 0.495 0.999 0.101
Se5 0.660 0.154 0.812
Se6 0.840 0.346 0.188
```